Entry 1:
# PBE-GGA SrNd2Tl2, optimized geometry
data_SrNd2Tl2
_cell_length_a 3.869
_cell_length_b 22.876
_cell_length_c 3.843
_cell_angle_alpha 90.00
_cell_angle_beta 90.00
_cell_angle_gamma 90.00
_space_group_name_H-M_alt 'C m m m'
_space_group_IT_number 65
_space_group_name_Hall '-C 2 2'
loop_
_atom_site_label
_atom_site_fract_x
_atom_site_fract_y
_atom_site_fract_z
Sr1 0.000 0.000 0.000
Nd1 0.000 0.181 0.000
Tl1 0.000 0.402 0.500
# Energy above the most stable polymorph in this dataset in meV per atom: 55
# Energy in eV/atom: -3.391
# Formation energy in eV/atom: -0.201

***

Entry 2:
# PBE-GGA GaGe3Cl, optimized geometry
data_GaGe3Cl
_cell_length_a 5.052
_cell_length_b 5.052
_cell_length_c 5.052
_cell_angle_alpha 90.00
_cell_angle_beta 90.00
_cell_angle_gamma 90.00
_space_group_name_H-M_alt 'P m -3 m'
_space_group_IT_number 221
_space_group_name_Hall '-P 4 2 3'
loop_
_atom_site_label
_atom_site_fract_x
_atom_site_fract_y
_atom_site_fract_z
Ga1 0.000 0.000 0.000
Ge1 0.000 0.000 0.500
Cl1 0.500 0.500 0.500
# Energy above the most stable polymorph in this dataset in meV per atom: 0
# Energy in eV/atom: -3.189
# Formation energy without anion corrections in eV/atom: 0.5560